A geometry-optimized RuPb2O structure, computed with PBE.

Properties
- Symmetry: I-42d
- Calculated density: 10.75 Mg/m³
- Energy relative to the elements, uncorrected: 0.129 eV/atom
- DFT total energy: -5.284 eV per atom

abc: 6.5479 6.5479 6.0079
angles: 56.98 56.98 90.00
With the nearest neighbours (Å) after each atom.
Positions (direct):
Pb (0.5849, 0.1250, 0.2500)  2 O 2.34
Pb (0.1651, 0.6250, 0.2500)  2 O 2.34
Pb (0.3750, 0.4151, 0.7500)  2 O 2.34
Pb (0.8750, 0.8349, 0.7500)  2 O 2.34
Ru (0.0000, 0.0000, 0.0000)  4 Pb 2.68
Ru (0.7500, 0.2500, 0.5000)  4 Pb 2.68
O (0.5000, 0.5000, 0.0000)  4 Pb 2.34
O (0.2500, 0.7500, 0.5000)  4 Pb 2.34

A geometry-optimized Li2CrPbBr6 structure, computed with PBE.

Properties
- Symmetry: R3
- Calculated density: 4.54 Mg/m³
- Energy relative to the elements, uncorrected: -1.022 eV/atom
- DFT total energy: -3.742 eV per atom

abc: 7.0122 7.0091 7.6314
angles: 62.63 62.61 59.98
With the nearest neighbours (Å) after each atom.
Positions (direct):
Li (0.5170, 0.5170, 0.4489)  6 Br 2.73-2.93
Li (0.0068, 0.0071, 0.9792)  6 Br 2.69-2.88
Cr (0.3255, 0.3256, 0.0234)  6 Br 2.66-2.69
Pb (0.8175, 0.8175, 0.5476)  6 Br 3.01-3.08
Br (0.5828, 0.2515, 0.2383)  1 Cr 2.69, 2 Li 2.73-2.88
Br (0.2516, 0.9275, 0.2382)  1 Cr 2.68, 2 Li 2.73-2.88
Br (0.9276, 0.5826, 0.2382)  1 Cr 2.68, 2 Li 2.73-2.88
Br (0.3756, 0.7239, 0.7671)  1 Cr 2.66, 2 Li 2.69-2.93
Br (0.7238, 0.1333, 0.7673)  1 Cr 2.66, 2 Li 2.69-2.93
Br (0.1333, 0.3758, 0.7670)  1 Cr 2.66, 2 Li 2.69-2.92

A geometry-optimized LiBe2Ag structure, computed with PBE.

Properties
- Symmetry: P2/m
- Energy above the lowest structure with this stoichiometry: 112 meV/atom
- Calculated density: 4.59 Mg/m³
- Energy of formation from the pure elements: 211 meV per atom
- DFT total energy: -2.843 eV per atom

abc: 4.0192 2.5966 4.7036
angles: 78.32 90.00 90.00
With the nearest neighbours (Å) after each atom.
Positions (direct):
Ag (0.5000, 0.7500, 0.7500)  2 Li 2.45, 4 Be 2.54, 2 Ag 2.60
Be (0.0000, 0.0358, 0.0106)  2 Li 2.42, 5 Be 2.43-2.71, 2 Ag 2.54
Be (0.0000, 0.4642, 0.4894)  2 Li 2.42, 5 Be 2.43-2.71, 2 Ag 2.54
Li (0.5000, 0.2500, 0.2500)  4 Be 2.42, 2 Ag 2.45, 2 Li 2.60

| no. | N(E_F) (states/eV/cell) | M_tot (Bohr magnetons per cell) |
| --- | --- | --- |
| 1 | 2.49 | 0.000 |
| 2 | 5.46 | 4.000 |
| 3 | 0.78 | 0.000 |